Entry from Alexandria via LeMat-Bulk: a relaxed structure of SrP2Se (PBE). Values from VASP.

Properties
Size of the total moment: 0.00 Bohr magnetons per cell
Space-group type: Imm2 (44)
Formation energy without anion corrections: -0.4628 eV per atom
DOS(E_F): 0.6715 states/eV/atom
Electronic total energy: -17.8 eV per formula unit

Geometry as Quantum ESPRESSO input:
```
&SYSTEM
  ibrav = 0, nat = 8, ntyp = 3
/
ATOMIC_SPECIES
Sr 87.62 Sr.upf
P 30.97 P.upf
Se 78.96 Se.upf
CELL_PARAMETERS angstrom
3.603 0.000 0.000
0.000 5.538 0.000
0.000 0.000 8.837
ATOMIC_POSITIONS crystal
Sr 0.000 0.000 0.000
Sr 0.500 0.500 0.500
P 0.000 0.000 0.459
P 0.000 0.500 0.800
P 0.500 0.000 0.300
P 0.500 0.500 0.959
Se 0.000 0.500 0.192
Se 0.500 0.000 0.692
```

Entry from Alexandria via LeMat-Bulk: a relaxed structure of Tb8Sm6Zr (PBE). Values from VASP.

Properties
Size of the total moment: 0.00 Bohr magnetons per cell
Space-group type: R-3 (148)
E_form: 0.128 eV/atom
DOS(E_F): 1.3719 states/eV/atom
Electronic total energy: -72.0 eV per formula unit

Geometry as Quantum ESPRESSO input:
```
&SYSTEM
  ibrav = 0, nat = 15, ntyp = 3
/
ATOMIC_SPECIES
Tb 158.93 Tb.upf
Sm 150.36 Sm.upf
Zr 91.22 Zr.upf
CELL_PARAMETERS angstrom
4.541 2.622 6.836
-4.541 2.622 6.836
0.000 -5.244 6.836
ATOMIC_POSITIONS crystal
Tb 0.077 0.077 0.077
Tb 0.221 0.253 0.611
Tb 0.253 0.611 0.221
Tb 0.389 0.779 0.747
Tb 0.611 0.221 0.253
Tb 0.747 0.389 0.779
Tb 0.779 0.747 0.389
Tb 0.923 0.923 0.923
Sm 0.044 0.726 0.606
Sm 0.274 0.394 0.956
Sm 0.394 0.956 0.274
Sm 0.606 0.044 0.726
Sm 0.726 0.606 0.044
Sm 0.956 0.274 0.394
Zr 0.500 0.500 0.500
```